A relaxed structure of CaCrBiO4, computed with PBE+U.

Cell: 6.6898 6.6898 6.6898 Å, 122.44 119.09 88.70°
Closest atoms and distances in Å follow each position.
Atoms (fractional coordinates):
Ca 0.3716 0.1216 0.2500  4 O 2.20-2.36
Ca 0.6284 0.8784 0.7500  4 O 2.20-2.36
Cr 0.0000 0.0000 0.5000  6 O 2.06-2.13
Cr 0.0000 0.5000 0.0000  6 O 2.06-2.13
Bi 0.0000 0.5000 0.5000  6 O 2.36-2.40
Bi 0.5000 0.5000 0.0000  6 O 2.36-2.40
O 0.2032 0.7486 0.4545  2 Cr 2.13, 1 Ca 2.36
O 0.2059 0.2514 0.9545  2 Cr 2.13, 1 Ca 2.36
O 0.2150 0.2152 0.5002  1 Cr 2.06, 1 Ca 2.20
O 0.2150 0.7148 0.9998  1 Cr 2.06, 1 Ca 2.20
O 0.7850 0.2852 0.0002  1 Cr 2.06, 1 Ca 2.20
O 0.7850 0.7848 0.4998  1 Cr 2.06, 1 Ca 2.20
O 0.7941 0.7486 0.0455  2 Cr 2.13, 1 Ca 2.36
O 0.7968 0.2514 0.5455  2 Cr 2.13, 1 Ca 2.36

=====

A relaxed structure of CaCr2BiO6, computed with PBE+U.

DOS at the Fermi energy, states/eV per cell: 2.79

Cell: 5.4841 5.4841 5.4831 Å, 119.87 119.87 90.09°
Closest atoms and distances in Å follow each position.
Atoms (fractional coordinates):
Ca 0.0000 0.0000 0.0000  5 O 2.29-2.44
Cr 0.2388 0.7341 0.4929  6 O 1.98-2.04
Cr 0.7341 0.2388 0.4929  6 O 1.98-2.04
Bi 0.4540 0.4540 0.9413  5 O 2.29-2.37
O 0.0441 0.4295 0.4967  2 Cr 1.98-2.00
O 0.0540 0.4324 0.9939  2 Cr 1.99-2.01
O 0.4295 0.0441 0.4967  2 Cr 1.98-2.00
O 0.4324 0.0540 0.9939  2 Cr 1.99-2.01
O 0.5844 0.5844 0.6190  2 Cr 2.00
O 0.8848 0.8848 0.4000  2 Cr 2.04

=====

A relaxed structure of Ca2CrBiO6, computed with PBE+U.

Cell: 5.5527 5.5527 5.0718 Å, 90.00 90.00 90.00°
Closest atoms and distances in Å follow each position.
Atoms (fractional coordinates):
Ca 0.0000 0.5000 0.0000  4 O 2.34
Ca 0.5000 0.0000 0.0000  4 O 2.34
Cr 0.0000 0.0000 0.6294  1 O 1.67
Bi 0.5000 0.5000 0.5917  5 O 2.14-2.31
O 0.0000 0.0000 0.2999  1 Cr 1.67
O 0.2249 0.2249 0.7528  1 Cr 1.87
O 0.2249 0.7751 0.7528  1 Cr 1.87
O 0.5000 0.5000 0.1689  1 Bi 2.14
O 0.7751 0.2249 0.7528  1 Cr 1.87
O 0.7751 0.7751 0.7528  1 Cr 1.87

=====

no.,mass density (g/cm³),E (eV per atom)
1,5.80,-6.63
2,6.37,-6.96
3,4.64,-6.43